# 1
Material: In2Ge2Sb
Method: DFT, PBE
State: relaxed

Cell: 8.513 8.513 3.342 Å, 90.00 90.00 90.00°
Sites, in units of the cell vectors:
In  0.142  0.358  0.000
In  0.358  0.858  0.000
In  0.642  0.142  0.000
In  0.858  0.642  0.000
Ge  0.158  0.658  0.500
Ge  0.342  0.158  0.500
Ge  0.658  0.842  0.500
Ge  0.842  0.342  0.500
Sb  0.000  0.000  0.500
Sb  0.500  0.500  0.500

Calculated values
As for the volume: 242.2 Å³ per cell. The uncorrected formation energy is 90.0 kJ/mol of formula units. Its magnetization is 0.00 μB/f.u. The crystal system is tetragonal. Its energy is -35.8 eV for the cell shown.

***

# 2
Material: In2GeSb
Method: DFT, PBE
State: relaxed

Cell: 4.097 4.557 6.292 Å, 106.89 101.13 99.40°
Sites, in units of the cell vectors:
In  0.000  0.000  0.000
In  0.482  0.756  0.321
Ge  0.938  0.384  0.463
Sb  0.508  0.343  0.778

Calculated values
As for the volume: 107.2 Å³ per cell. The uncorrected formation energy is 37.2 kJ/mol of formula units. Its magnetization is 0.00 μB/f.u. The crystal system is triclinic. Its energy is -13.8 eV for the cell shown.